1.
A geometry-optimized SrLi3Sn structure. Source: the Alexandria database, functional GGA-PBEsol.

Results
calculated volume	29.83	Å³ per atom
crystal system	cubic
offset from the most stable computed form	999	meV per atom
space group	Pm-3m
energy of formation	0.7931	eV/atom
total energy	-0.11810	Ry per atom
magnetization	0.0	μB per formula unit

Lattice parameters (Å, degrees): 5.3033 5.3033 5.3033 90.00 90.00 90.00
Closest atoms and distances in Å follow each position.
Atoms (fractional coordinates):
Sr  0.0000  0.0000  0.0000  6 Li 2.65
Li  0.0000  0.0000  0.5000  2 Sr 2.65
Li  0.0000  0.5000  0.0000  2 Sr 2.65
Li  0.5000  0.0000  0.0000  2 Sr 2.65
Sn  0.5000  0.5000  0.5000  12 Li 3.75


2.
A geometry-optimized Sr2LiSn2 structure. Source: the Alexandria database, functional GGA-PBEsol.

Results
calculated volume	31.63	Å³ per atom
crystal system	tetragonal
space group	P4/mbm
energy of formation	-0.5460	eV/atom
total energy	-0.24836	Ry per atom
magnetization	0.0	μB per formula unit

Lattice parameters (Å, degrees): 8.0509 8.0509 4.8799 90.00 90.00 90.00
Closest atoms and distances in Å follow each position.
Atoms (fractional coordinates):
Sr  0.1679  0.3321  0.0000  6 Sn 3.35-3.44
Sr  0.3321  0.8321  0.0000  6 Sn 3.35-3.44
Sr  0.6679  0.1679  0.0000  6 Sn 3.35-3.44
Sr  0.8321  0.6679  0.0000  6 Sn 3.35-3.44
Li  0.0000  0.0000  0.5000  4 Sn 3.15
Li  0.5000  0.5000  0.5000  4 Sn 3.15
Sn  0.1305  0.6305  0.5000  1 Sn 2.97, 2 Li 3.15
Sn  0.3695  0.1305  0.5000  1 Sn 2.97, 2 Li 3.15
Sn  0.6305  0.8695  0.5000  1 Sn 2.97, 2 Li 3.15
Sn  0.8695  0.3695  0.5000  1 Sn 2.97, 2 Li 3.15